# MnCoTc2 (PBE, optimized geometry)
# V = 12.61 A^3/atom
# polymorph energy (0 for the lowest one) = 0 meV/atom
# final energy = -9.25 eV per atom
# Fermi-level density of states = 3.69 states/eV/cell
# spin magnetization = 1.0 μB/cell
data_MnCoTc2
_chemical_formula_sum 'Mn1 Co1 Tc2'
_cell_length_a 2.6317
_cell_length_b 4.2183
_cell_length_c 4.5449
_cell_angle_alpha 90.00
_cell_angle_beta 90.00
_cell_angle_gamma 90.00
_space_group_name_H-M_alt 'P m m 2'
_space_group_IT_number 25
loop_
_space_group_symop_operation_xyz
'x,y,z'
'-x,-y,z'
'-x,y,z'
'x,-y,z'
loop_
_atom_site_label
_atom_site_type_symbol
_atom_site_fract_x
_atom_site_fract_y
_atom_site_fract_z
_atom_site_occupancy
Mn1 Mn 0.0000 0.0000 0.0000 1
Co1 Co 0.0000 0.5000 0.3295 1
Tc1 Tc 0.5000 0.0000 0.4864 1
Tc2 Tc 0.5000 0.5000 0.8378 1